Record 1
A crystal of HfTa3H relaxed with PBEsol, computed with SCAN.

Space group: Pm-3m
Uncorrected energy in eV per formula unit: -265.137
M_tot in μB per atom: 0.000

Cell lengths 4.2544, 4.2544, 4.2544 Å; angles 90.00, 90.00, 90.00 degrees
With the nearest neighbours (Å) after each atom.
Atoms (fractional coordinates):
Hf: 0.0000 0.0000 0.0000  12 Ta 3.01
Ta: 0.0000 0.5000 0.5000  2 H 2.13
Ta: 0.5000 0.0000 0.5000  2 H 2.13
Ta: 0.5000 0.5000 0.0000  2 H 2.13
H: 0.5000 0.5000 0.5000  6 Ta 2.13


Record 2
A crystal of BaTeN2O relaxed with PBEsol, computed with SCAN.

E_form (uncorrected) in eV/atom: 1.06
Space group: P4/mmm
Uncorrected energy in eV per formula unit: -96.325
M_tot in μB per atom: 0.794

Cell lengths 4.6414, 4.6414, 4.0880 Å; angles 90.00, 90.00, 90.00 degrees
With the nearest neighbours (Å) after each atom.
Atoms (fractional coordinates):
Ba: 0.0000 0.0000 0.0000  8 N 3.09, 4 Te 3.28
Te: 0.5000 0.5000 0.0000  2 O 2.04
N: 0.0000 0.5000 0.5000  2 O 2.32
N: 0.5000 0.0000 0.5000  2 O 2.32
O: 0.5000 0.5000 0.5000  2 Te 2.04


Record 3
A crystal of BaPBr2 relaxed with PBEsol, computed with SCAN.

Excess energy over the best structure of this formula in the dataset in meV/atom: 229.0
E_form (uncorrected) in eV/atom: -0.79
Space group: F-43m
Uncorrected energy in eV per formula unit: -92.040
M_tot in μB per atom: 0.747

Cell lengths 5.4956, 5.4956, 5.4956 Å; angles 60.00, 60.00, 60.00 degrees
With the nearest neighbours (Å) after each atom.
Atoms (fractional coordinates):
Ba: 0.0000 0.0000 0.0000  4 P 3.37, 4 Br 3.37
P: 0.7500 0.7500 0.7500  4 Br 3.37, 4 Ba 3.37
Br: 0.2500 0.2500 0.2500  4 Br 3.37, 4 Ba 3.37
Br: 0.5000 0.5000 0.5000  4 Br 3.37, 4 P 3.37


Record 4
A crystal of TlTc3 relaxed with PBEsol, computed with SCAN.

Excess energy over the best structure of this formula in the dataset in meV/atom: 265.7
Space group: Cmmm
Energy of formation in eV/f.u.: 2.85
Uncorrected energy in eV per formula unit: -174.691
M_tot in μB per atom: 0.001

Cell lengths 4.8245, 4.8245, 2.8765 Å; angles 90.00, 90.00, 111.53 degrees
With the nearest neighbours (Å) after each atom.
Atoms (fractional coordinates):
Tl: 0.0000 0.0000 0.0000  10 Tc 2.71-2.81, 2 Tl 2.88
Tc: 0.0000 0.5000 0.5000  8 Tc 2.71-2.88, 4 Tl 2.81
Tc: 0.5000 0.0000 0.5000  8 Tc 2.71-2.88, 4 Tl 2.81
Tc: 0.5000 0.5000 0.0000  2 Tl 2.71, 10 Tc 2.81-2.88


| no. | volume (A^3/atom) |
| --- | --- |
| 1 | 15.40 |
| 2 | 17.61 |
| 3 | 29.34 |
| 4 | 15.57 |